1.
The following is a PBE-GGA calculation of a geometry-optimized Ag2Au3 structure, from the Open Quantum Materials Database.

Unit cell a=6.510 b=6.510 c=4.220 alpha=90.00 beta=90.00 gamma=90.00
Sites, in units of the cell vectors:
Ag: 0.100 0.700 0.000
Ag: 0.300 0.100 0.000
Ag: 0.700 0.900 0.000
Ag: 0.900 0.300 0.000
Au: 0.000 0.000 0.500
Au: 0.199 0.399 0.500
Au: 0.399 0.801 0.500
Au: 0.500 0.500 0.000
Au: 0.601 0.199 0.500
Au: 0.801 0.601 0.500

Results
Electronic total energy ... -3.147 eV per atom

=====

2.
The following is a PBE-GGA calculation of a geometry-optimized Ag3Au structure, from the Open Quantum Materials Database.

Unit cell a=4.813 b=5.866 c=5.051 alpha=90.00 beta=90.00 gamma=90.00
Sites, in units of the cell vectors:
Ag: 0.250 0.000 0.165
Ag: 0.250 0.250 0.662
Ag: 0.250 0.500 0.165
Ag: 0.750 0.000 0.835
Ag: 0.750 0.500 0.835
Ag: 0.750 0.750 0.338
Au: 0.250 0.750 0.668
Au: 0.750 0.250 0.332

Results
Electronic total energy ... -2.977 eV per atom

=====

Question: electronic total energy of number 1 (Ag2Au3)?
Answer: -3.147 eV per atom

=====

Please write out number 2 again, unchanged.
The following is a PBE-GGA calculation of a geometry-optimized Ag3Au structure, from the Open Quantum Materials Database.

Unit cell a=4.813 b=5.866 c=5.051 alpha=90.00 beta=90.00 gamma=90.00
Sites, in units of the cell vectors:
Ag: 0.250 0.000 0.165
Ag: 0.250 0.250 0.662
Ag: 0.250 0.500 0.165
Ag: 0.750 0.000 0.835
Ag: 0.750 0.500 0.835
Ag: 0.750 0.750 0.338
Au: 0.250 0.750 0.668
Au: 0.750 0.250 0.332

Results
Electronic total energy ... -2.977 eV per atom

=====

Question: Which of these has the highest electronic total energy?
Answer: Ag3Au

=====

What did the second record say?
The following is a PBE-GGA calculation of a geometry-optimized Ag3Au structure, from the Open Quantum Materials Database.

Unit cell a=4.813 b=5.866 c=5.051 alpha=90.00 beta=90.00 gamma=90.00
Sites, in units of the cell vectors:
Ag: 0.250 0.000 0.165
Ag: 0.250 0.250 0.662
Ag: 0.250 0.500 0.165
Ag: 0.750 0.000 0.835
Ag: 0.750 0.500 0.835
Ag: 0.750 0.750 0.338
Au: 0.250 0.750 0.668
Au: 0.750 0.250 0.332

Results
Electronic total energy ... -2.977 eV per atom